Li2Fe3Co5O16 | PBE+U | relaxed

Cell lengths 2.882, 5.153, 18.698 Å; angles 87.20, 90.00, 90.00 degrees
Each line ends with the local moment (μB).
Positions (direct):
Co (0.500, 0.500, 0.500)  -1.12
Co (0.500, 0.756, 0.745)  -0.80
Co (0.500, 0.244, 0.255)  -0.80
Co (0.000, 0.370, 0.378)  -0.62
Co (0.000, 0.630, 0.622)  -0.62
O (0.500, 0.485, 0.681)  0.01
O (0.000, 0.104, 0.310)  0.01
O (0.000, 0.389, 0.200)  -0.04
O (0.500, 0.515, 0.319)  0.01
O (0.000, 0.896, 0.690)  0.01
O (0.500, 0.733, 0.932)  -0.22
O (0.500, 0.761, 0.567)  0.03
O (0.000, 0.611, 0.800)  -0.04
O (0.500, 0.975, 0.193)  -0.10
O (0.500, 0.239, 0.433)  0.03
O (0.000, 0.632, 0.443)  0.04
O (0.000, 0.863, 0.059)  -0.26
O (0.000, 0.368, 0.557)  0.04
O (0.500, 0.025, 0.807)  -0.10
O (0.000, 0.137, 0.941)  -0.26
O (0.500, 0.267, 0.068)  -0.22
Fe (0.000, 0.126, 0.127)  2.85
Fe (0.000, 0.874, 0.873)  2.85
Fe (0.500, 0.000, 0.000)  2.50
Li (0.000, 0.745, 0.258)  0.00
Li (0.000, 0.255, 0.742)  0.00

Values from the calculation:
Uncorrected energy: -150.26 eV/cell
Total moment: 3.00 μB/f.u.
Density of states at the Fermi level: 0.136 states/eV/atom
Symmetry: P2/m